Record 1
VASP calculation (PBE) on LaIn2Hg after structural relaxation.

a b c (Å): 5.3671 5.3671 5.3671
angles (deg): 60.00 60.00 60.00
Closest atoms and distances in Å follow each position.
Fractional positions:
Hg (0.5000, 0.5000, 0.5000)  4 La 3.29, 4 In 3.29
In (0.0000, 0.0000, 0.0000)  4 In 3.29, 4 La 3.29
In (0.2500, 0.2500, 0.2500)  4 Hg 3.29, 4 In 3.29
La (0.7500, 0.7500, 0.7500)  4 Hg 3.29, 4 In 3.29

Output
SG: F-43m (216)
Calculated formation energy: -1.4 eV/f.u.
Volume: 109.32 Å³ per cell



Record 2
VASP calculation (PBE) on LaIn2Hg after structural relaxation.

a b c (Å): 5.8050 5.8050 5.8050
angles (deg): 130.76 130.80 72.16
Closest atoms and distances in Å follow each position.
Fractional positions:
In (0.0004, 0.0004, 0.0000)  4 In 3.36-3.37, 4 Hg 3.37, 4 La 3.42
In (0.7499, 0.2499, 0.5000)  4 In 3.36-3.37, 4 La 3.37, 4 Hg 3.42
Hg (0.2500, 0.7500, 0.5000)  8 In 3.37-3.42, 4 La 3.37
La (0.4997, 0.4997, 0.0000)  8 In 3.37-3.42, 4 Hg 3.37

Output
SG: I-4m2 (119)
Calculated formation energy: -1.5 eV/f.u.
Volume: 109.66 Å³ per cell



Record 3
VASP calculation (PBE) on La2InHg after structural relaxation.

a b c (Å): 3.8272 4.9609 6.7135
angles (deg): 90.00 90.00 90.00
Closest atoms and distances in Å follow each position.
Fractional positions:
Hg (0.0000, 0.0000, 0.4708)  6 La 3.25-3.47
In (0.5000, 0.5000, 0.7800)  6 La 3.26-3.45
La (0.0000, 0.0000, 0.9546)  2 Hg 3.25-3.47, 4 In 3.34
La (0.5000, 0.5000, 0.2945)  2 In 3.26-3.45, 4 Hg 3.35

Output
SG: Pmm2 (25)
Calculated formation energy: -1.2 eV/f.u.
Volume: 127.46 Å³ per cell



Record 4
VASP calculation (PBE) on La2In2Hg after structural relaxation.

a b c (Å): 4.9422 6.3261 10.6729
angles (deg): 87.78 76.61 67.01
Closest atoms and distances in Å follow each position.
Fractional positions:
La (0.6847, 0.2975, 0.3331)  7 In 3.40-3.61, 4 Hg 3.42-3.65
La (0.9224, 0.2541, 0.9010)  6 In 3.34-3.53, 2 Hg 3.56, 1 La 3.70
La (0.3153, 0.7025, 0.6669)  7 In 3.40-3.61, 4 Hg 3.42-3.65
La (0.0776, 0.7459, 0.0990)  6 In 3.34-3.53, 2 Hg 3.56, 1 La 3.70
In (0.0785, 0.2807, 0.5624)  3 Hg 2.88-3.16, 1 In 2.93
In (0.6448, 0.8251, 0.8853)  1 Hg 2.92, 1 In 3.04
In (0.9215, 0.7193, 0.4376)  3 Hg 2.88-3.16, 1 In 2.93
In (0.3552, 0.1749, 0.1147)  1 Hg 2.92, 1 In 3.04
Hg (0.6142, 0.1089, 0.6627)  4 In 2.88-3.16
Hg (0.3858, 0.8911, 0.3373)  4 In 2.88-3.16

Output
SG: C2/m (12)
Calculated formation energy: -2.5 eV/f.u.
Volume: 298.33 Å³ per cell